! TaRuSe2, optimized geometry, DFT GGA-PBEsol; values from VASP
! Energy above the most stable polymorph in this dataset (eV per atom): 0.361
! Formation energy (no corrections) (eV/atom): 0.128
! Raw total energy (eV/atom): -7.48
! Crystal system: tetragonal
&SYSTEM
  ibrav = 0, nat = 4, ntyp = 3
/
ATOMIC_SPECIES
Ru 101.07 Ru.upf
Se 78.96 Se.upf
Ta 180.95 Ta.upf
CELL_PARAMETERS angstrom
-2.117 -1.647 2.762
-2.585 -1.096 -2.634
4.486 -2.314 -0.625
ATOMIC_POSITIONS angstrom
Ru -0.225 -2.391 -1.598
Se 0.000 0.000 0.000
Se 0.009 -2.666 1.100
Ta -2.351 -1.372 0.064


! TaRu2Se, optimized geometry, DFT GGA-PBEsol; values from VASP
! Formation energy (no corrections) (eV/atom): 0.274
! Raw total energy (eV/atom): -8.91
! Crystal system: cubic
&SYSTEM
  ibrav = 0, nat = 4, ntyp = 3
/
ATOMIC_SPECIES
Ru 101.07 Ru.upf
Se 78.96 Se.upf
Ta 180.95 Ta.upf
CELL_PARAMETERS angstrom
4.391 0.000 0.000
2.196 3.803 0.000
2.196 1.268 3.586
ATOMIC_POSITIONS angstrom
Ru 0.000 0.000 0.000
Ru 6.587 3.803 2.689
Se 4.391 2.535 1.793
Ta 2.196 1.268 0.896


! TaRuSe2, optimized geometry, DFT GGA-PBEsol; values from VASP
! Energy above the most stable polymorph in this dataset (eV per atom): 0.257
! Formation energy (no corrections) (eV/atom): 0.024
! Raw total energy (eV/atom): -7.58
! Crystal system: trigonal
&SYSTEM
  ibrav = 0, nat = 4, ntyp = 3
/
ATOMIC_SPECIES
Ru 101.07 Ru.upf
Se 78.96 Se.upf
Ta 180.95 Ta.upf
CELL_PARAMETERS angstrom
-2.686 -1.231 -0.905
-0.842 -2.792 1.021
-4.737 1.956 6.121
ATOMIC_POSITIONS angstrom
Ru 0.000 0.000 0.000
Se -2.052 -0.530 1.535
Se -6.213 -1.537 4.703
Ta -4.132 -1.034 3.119


! Tc2RuSe, optimized geometry, DFT GGA-PBEsol; values from VASP
! Formation energy (no corrections) (eV/atom): 0.219
! Raw total energy (eV/atom): -8.92
! Crystal system: monoclinic
&SYSTEM
  ibrav = 0, nat = 4, ntyp = 3
/
ATOMIC_SPECIES
Ru 101.07 Ru.upf
Se 78.96 Se.upf
Tc 98.00 Tc.upf
CELL_PARAMETERS angstrom
2.830 0.000 0.003
0.000 3.969 0.000
-1.294 0.000 5.050
ATOMIC_POSITIONS angstrom
Ru 1.415 1.985 0.001
Se 0.768 1.985 2.526
Tc 1.515 0.000 3.772
Tc 0.021 0.000 1.281


! TcRuSe4, optimized geometry, DFT GGA-PBEsol; values from VASP
! Formation energy (no corrections) (eV/atom): 1.452
! Raw total energy (eV/atom): -4.69
! Crystal system: cubic
&SYSTEM
  ibrav = 0, nat = 6, ntyp = 3
/
ATOMIC_SPECIES
Ru 101.07 Ru.upf
Se 78.96 Se.upf
Tc 98.00 Tc.upf
CELL_PARAMETERS angstrom
-2.056 3.825 -3.078
-5.250 0.192 -0.857
-2.911 3.889 2.175
ATOMIC_POSITIONS angstrom
Ru 0.000 0.000 0.000
Se -3.831 2.965 -0.660
Se -5.287 4.910 0.428
Se -4.859 4.878 -2.200
Se -6.457 3.061 -1.088
Tc -7.663 5.930 -1.320


! TeRuSe, optimized geometry, DFT GGA-PBEsol; values from VASP
! Formation energy (no corrections) (eV/atom): 0.941
! Raw total energy (eV/atom): -4.91
! Crystal system: cubic
&SYSTEM
  ibrav = 0, nat = 3, ntyp = 3
/
ATOMIC_SPECIES
Ru 101.07 Ru.upf
Se 78.96 Se.upf
Te 127.60 Te.upf
CELL_PARAMETERS angstrom
4.447 0.000 0.000
2.224 3.851 0.000
2.224 1.284 3.631
ATOMIC_POSITIONS angstrom
Ru 4.447 2.568 1.816
Se 2.224 1.284 0.908
Te 0.000 0.000 0.000


! TiRu3Se, optimized geometry, DFT GGA-PBEsol; values from VASP
! Formation energy (no corrections) (eV/atom): 1.416
! Raw total energy (eV/atom): -7.12
! Crystal system: cubic
&SYSTEM
  ibrav = 0, nat = 5, ntyp = 3
/
ATOMIC_SPECIES
Ru 101.07 Ru.upf
Se 78.96 Se.upf
Ti 47.87 Ti.upf
CELL_PARAMETERS angstrom
-0.308 2.802 3.457
-4.317 -1.030 0.449
1.080 -3.315 2.783
ATOMIC_POSITIONS angstrom
Ru -2.159 -0.515 0.225
Ru 0.540 -1.657 1.392
Ru -0.154 1.401 1.729
Se -1.773 -0.771 3.345
Ti 0.000 0.000 0.000


! Ti3RuSe, optimized geometry, DFT GGA-PBEsol; values from VASP
! Formation energy (no corrections) (eV/atom): 0.274
! Raw total energy (eV/atom): -7.52
! Crystal system: cubic
&SYSTEM
  ibrav = 0, nat = 5, ntyp = 3
/
ATOMIC_SPECIES
Ru 101.07 Ru.upf
Se 78.96 Se.upf
Ti 47.87 Ti.upf
CELL_PARAMETERS angstrom
4.633 0.000 0.000
0.000 4.633 0.000
0.000 0.000 4.633
ATOMIC_POSITIONS angstrom
Ru 0.000 0.000 0.000
Se 2.317 2.317 2.317
Ti 0.000 2.317 0.000
Ti 0.000 0.000 2.317
Ti 2.317 0.000 0.000